NbCoSnPt | PBE | relaxed

Computed properties:
Relative energy among the computed polymorphs in meV/atom: 0
Magnetic moment in μB/cell: 2.5

Unit cell a=6.396 b=6.396 c=6.396 alpha=90.00 beta=90.00 gamma=90.00
Space group F-43m (No. 216)
Asymmetric unit:
Nb 0.000 0.000 0.000 (multiplicity 4)
Co 0.250 0.250 0.750 (multiplicity 4)
Sn 0.000 0.000 0.500 (multiplicity 4)
Pt 0.250 0.250 0.250 (multiplicity 4)

***

DyMgTeAuSe2 | PBE | relaxed

Computed properties:
DFT total energy in eV/cell: -101.6
Magnetic moment in μB/cell: 0.0

Unit cell a=3.894 b=13.863 c=10.857 alpha=90.00 beta=90.00 gamma=90.00
Space group Cmcm (No. 63)
Asymmetric unit:
Dy 0.000 0.000 0.000 (multiplicity 4)
Mg 0.000 0.194 0.250 (multiplicity 4)
Te 0.000 0.125 0.750 (multiplicity 4)
Au 0.000 0.479 0.750 (multiplicity 4)
Se 0.000 0.355 0.567 (multiplicity 8)

***

CsPmHg | PBE | relaxed

Computed properties:
DFT total energy in eV/cell: -14.3
Magnetic moment in μB/cell: 0.0

Unit cell a=7.671 b=7.671 c=7.671 alpha=90.00 beta=90.00 gamma=90.00
Space group F-43m (No. 216)
Asymmetric unit:
Cs 0.000 0.000 0.000 (multiplicity 4)
Pm 0.250 0.250 0.250 (multiplicity 4)
Hg 0.250 0.250 0.750 (multiplicity 4)

***

TeMoAs | PBE | relaxed

Computed properties:
Relative energy among the computed polymorphs in meV/atom: 595
Magnetic moment in μB/cell: 2.3

Unit cell a=6.420 b=6.420 c=6.420 alpha=90.00 beta=90.00 gamma=90.00
Space group F-43m (No. 216)
Asymmetric unit:
Te 0.000 0.000 0.000 (multiplicity 4)
Mo 0.000 0.000 0.500 (multiplicity 4)
As 0.250 0.250 0.750 (multiplicity 4)

***

CuNiAgSb | PBE | relaxed

Computed properties:
Relative energy among the computed polymorphs in meV/atom: 0
Magnetic moment in μB/cell: 0.0

Unit cell a=6.311 b=6.311 c=6.311 alpha=90.00 beta=90.00 gamma=90.00
Space group F-43m (No. 216)
Asymmetric unit:
Cu 0.000 0.000 0.000 (multiplicity 4)
Ni 0.000 0.000 0.500 (multiplicity 4)
Ag 0.250 0.250 0.250 (multiplicity 4)
Sb 0.250 0.250 0.750 (multiplicity 4)

***

Y2Hf4Ni3N3 | PBE | relaxed

Computed properties:
DFT total energy in eV/cell: -427.0
Magnetic moment in μB/cell: 0.0

Unit cell a=9.653 b=5.579 c=13.894 alpha=90.00 beta=103.82 gamma=90.00
Space group C2/c (No. 15)
Asymmetric unit:
Y 0.040 0.083 0.378 (multiplicity 8)
Hf 0.114 0.409 0.592 (multiplicity 8)
Hf 0.223 0.419 0.909 (multiplicity 8)
Ni 0.000 0.423 0.750 (multiplicity 4)
Ni 0.246 0.161 0.750 (multiplicity 8)
N 0.086 0.259 0.000 (multiplicity 8)
N 0.250 0.250 0.500 (multiplicity 4)

***

BaHgSeO | PBE | relaxed

Computed properties:
DFT total energy in eV/cell: -29.9

Unit cell a=5.111 b=5.111 c=8.276 alpha=90.00 beta=90.00 gamma=90.00
Space group P4/nmm (No. 129, origin choice 2)
Asymmetric unit:
Ba 0.250 0.250 0.184 (multiplicity 2)
Hg 0.250 0.250 0.642 (multiplicity 2)
Se 0.250 0.750 0.500 (multiplicity 2)
O 0.250 0.250 0.901 (multiplicity 2)

***

KBi5Os3 | PBE | relaxed

Computed properties:
DFT total energy in eV/cell: -51.1
Magnetic moment in μB/cell: 1.7

Unit cell a=5.8656 b=5.8656 c=8.6720 alpha=90.00 beta=90.00 gamma=120.00
Space group P6/mmm (No. 191)
Asymmetric unit:
K 0.0000 0.0000 0.0000 (multiplicity 1)
Bi 0.0000 0.0000 0.5000 (multiplicity 1)
Bi 0.3333 0.6667 0.2399 (multiplicity 4)
Os 0.0000 0.5000 0.5000 (multiplicity 3)